[1]
# Na2NpSc2S6

A geometry-optimized Na2NpSc2S6 structure (PBE, Alexandria via LeMat-Bulk).

Results
Formation energy from raw total energies in eV/atom: -1.596

```
data_Na2NpSc2S6
_symmetry_space_group_name_H-M 'C 1 2/m 1'
_symmetry_Int_Tables_number 12
_cell_length_a 6.6017
_cell_length_b 11.4977
_cell_length_c 7.0935
_cell_angle_alpha 90.00
_cell_angle_beta 108.21
_cell_angle_gamma 90.00
loop_
_symmetry_equiv_pos_as_xyz
'x,y,z'
'-x,-y,-z'
'-x,y,-z'
'x,-y,z'
'x+1/2,y+1/2,z'
'-x+1/2,-y+1/2,-z'
'-x+1/2,y+1/2,-z'
'x+1/2,-y+1/2,z'
loop_
_atom_site_label
_atom_site_type_symbol
_atom_site_fract_x
_atom_site_fract_y
_atom_site_fract_z
Na1 Na 0.0000 0.1667 0.0000
Np1 Np 0.0000 0.0000 0.5000
Sc1 Sc 0.0000 0.3333 0.5000
S1 S 0.2315 0.5000 0.7141
S2 S 0.2399 0.1719 0.7136
```

[2]
# TcPPtO2

A geometry-optimized TcPPtO2 structure (PBE, Alexandria via LeMat-Bulk).

Results
Formation energy from raw total energies in eV/atom: 0.520

```
data_TcPPtO2
_symmetry_space_group_name_H-M 'P 4/m m m'
_symmetry_Int_Tables_number 123
_symmetry_space_group_name_Hall '-P 4 2'
_cell_length_a 3.7594
_cell_length_b 3.7594
_cell_length_c 5.6590
_cell_angle_alpha 90.00
_cell_angle_beta 90.00
_cell_angle_gamma 90.00
loop_
_atom_site_label
_atom_site_type_symbol
_atom_site_fract_x
_atom_site_fract_y
_atom_site_fract_z
Tc1 Tc 0.0000 0.0000 0.0000
P1 P 0.5000 0.5000 0.0000
Pt1 Pt 0.5000 0.5000 0.5000
O1 O 0.0000 0.5000 0.5000
```

[3]
# BaGa2B2O7

A geometry-optimized BaGa2B2O7 structure (PBE, Alexandria via LeMat-Bulk).

Results
Formation energy from raw total energies in eV/atom: -2.355

```
data_BaGa2B2O7
_symmetry_space_group_name_H-M 'C m c m'
_symmetry_Int_Tables_number 63
_symmetry_space_group_name_Hall '-C 2c 2'
_cell_length_a 11.8953
_cell_length_b 8.7869
_cell_length_c 5.9224
_cell_angle_alpha 90.00
_cell_angle_beta 90.00
_cell_angle_gamma 90.00
loop_
_atom_site_label
_atom_site_type_symbol
_atom_site_fract_x
_atom_site_fract_y
_atom_site_fract_z
Ba1 Ba 0.0000 0.1953 0.2500
Ga1 Ga 0.2083 0.0795 0.7500
B1 B 0.1109 0.3935 0.7500
O1 O 0.0000 0.3358 0.7500
O2 O 0.1336 0.0000 0.0000
O3 O 0.1342 0.4529 0.2500
O4 O 0.1971 0.2913 0.7500
```

[4]
# CdCoTc

A geometry-optimized CdCoTc structure (PBE, Alexandria via LeMat-Bulk).

Results
Energy of formation from the pure elements in eV/atom: 0.22

```
data_CdCoTc
_symmetry_space_group_name_H-M 'I 4 m m'
_symmetry_Int_Tables_number 107
_symmetry_space_group_name_Hall 'I 4 -2'
_cell_length_a 2.7828
_cell_length_b 2.7828
_cell_length_c 11.5825
_cell_angle_alpha 90.00
_cell_angle_beta 90.00
_cell_angle_gamma 90.00
loop_
_atom_site_label
_atom_site_type_symbol
_atom_site_fract_x
_atom_site_fract_y
_atom_site_fract_z
Cd1 Cd 0.0000 0.0000 0.0000
Co1 Co 0.0000 0.0000 0.3241
Tc1 Tc 0.0000 0.0000 0.6958
```

[5]
# CaBiPt2F

A geometry-optimized CaBiPt2F structure (PBE, Alexandria via LeMat-Bulk).

Results
Formation energy from raw total energies in eV/atom: 0.816

```
data_CaBiPt2F
_symmetry_space_group_name_H-M 'P 4/m m m'
_symmetry_Int_Tables_number 123
_symmetry_space_group_name_Hall '-P 4 2'
_cell_length_a 4.9456
_cell_length_b 4.9456
_cell_length_c 6.0649
_cell_angle_alpha 90.00
_cell_angle_beta 90.00
_cell_angle_gamma 90.00
loop_
_atom_site_label
_atom_site_type_symbol
_atom_site_fract_x
_atom_site_fract_y
_atom_site_fract_z
Ca1 Ca 0.0000 0.0000 0.0000
Bi1 Bi 0.0000 0.0000 0.5000
Pt1 Pt 0.0000 0.5000 0.0000
F1 F 0.5000 0.5000 0.5000
```

Calculated calculated volume, 511.5 80.0 619.0 89.7 148.3 Å³ per cell (same order as the records).